# 1
K2MgZr at its PBEsol-relaxed geometry. Source: Alexandria via LeMat-Bulk, functional SCAN.

DOS(E_F) ... 0.80 states/eV per atom
Energy relative to the elements ... 67 kJ per mole of atoms
Total magnetic moment ... 1.51 μB per formula unit
Crystal system ... monoclinic

abc: 3.0534 6.5915 6.3575
angles: 90.00 91.75 90.00
Fractional coordinates of all 4 atoms:
K (0.2383, 0.0000, 0.2480)
K (0.7617, 0.0000, 0.7520)
Mg (0.5000, 0.5000, 0.0000)
Zr (0.0000, 0.5000, 0.5000)

# 2
K2MgZr at its PBEsol-relaxed geometry. Source: Alexandria via LeMat-Bulk, functional SCAN.

DOS(E_F) ... 0.79 states/eV per atom
Energy relative to the elements ... 66 kJ per mole of atoms
Total magnetic moment ... 1.94 μB per formula unit
Crystal system ... orthorhombic

abc: 7.6290 7.6290 7.6290
angles: 155.41 135.17 51.80
Fractional coordinates of all 4 atoms:
K (0.2189, 0.2189, 0.0000)
K (0.7811, 0.7811, 0.0000)
Mg (0.0000, 0.5000, 0.5000)
Zr (0.5000, 0.0000, 0.5000)

# 3
K2MgZr at its PBEsol-relaxed geometry. Source: Alexandria via LeMat-Bulk, functional SCAN.

DOS(E_F) ... 0.98 states/eV per atom
Energy relative to the elements ... 70 kJ per mole of atoms
Total magnetic moment ... 0.00 μB per formula unit
Crystal system ... tetragonal

abc: 3.1814 3.1814 13.1057
angles: 90.00 90.00 90.00
Fractional coordinates of all 4 atoms:
K (0.0000, 0.0000, 0.2464)
K (0.0000, 0.0000, 0.7536)
Mg (0.5000, 0.5000, 0.0000)
Zr (0.5000, 0.5000, 0.5000)

# 4
KMg2Zr at its PBEsol-relaxed geometry. Source: Alexandria via LeMat-Bulk, functional SCAN.

DOS(E_F) ... 0.81 states/eV per atom
Energy relative to the elements ... 41 kJ per mole of atoms
Total magnetic moment ... 0.32 μB per formula unit
Crystal system ... monoclinic

abc: 5.4467 5.4467 7.7111
angles: 92.74 92.74 31.14
Fractional coordinates of all 4 atoms:
K (0.0000, 0.0000, 0.0000)
Mg (0.2402, 0.2402, 0.6796)
Mg (0.7598, 0.7598, 0.3204)
Zr (0.5000, 0.5000, 0.5000)

# 5
KMn2 at its PBEsol-relaxed geometry. Source: Alexandria via LeMat-Bulk, functional SCAN.

DOS(E_F) ... 0.91 states/eV per atom
Energy relative to the elements ... 98 kJ per mole of atoms
Total magnetic moment ... 3.45 μB per formula unit
Crystal system ... orthorhombic

abc: 6.4502 6.4502 6.4502
angles: 155.59 149.27 39.63
Fractional coordinates of all 3 atoms:
K (0.0000, 0.0000, 0.0000)
Mn (0.2706, 0.2706, 0.0000)
Mn (0.7294, 0.7294, 0.0000)

# 6
K3Mn at its PBEsol-relaxed geometry. Source: Alexandria via LeMat-Bulk, functional SCAN.

DOS(E_F) ... 0.75 states/eV per atom
Energy relative to the elements ... 46 kJ per mole of atoms
Total magnetic moment ... 5.25 μB per formula unit
Crystal system ... orthorhombic

abc: 4.0419 6.4941 7.2587
angles: 90.00 90.00 90.00
Fractional coordinates of all 4 atoms:
K (0.0000, 0.0000, 0.0000)
K (0.0000, 0.5000, 0.3268)
K (0.5000, 0.0000, 0.5476)
Mn (0.5000, 0.5000, 0.8339)

# 7
KMn2 at its PBEsol-relaxed geometry. Source: Alexandria via LeMat-Bulk, functional SCAN.

DOS(E_F) ... 1.07 states/eV per atom
Energy relative to the elements ... 135 kJ per mole of atoms
Total magnetic moment ... 9.46 μB per formula unit
Crystal system ... tetragonal

abc: 5.9958 5.9958 2.9111
angles: 90.00 90.00 90.00
Fractional coordinates of all 3 atoms:
K (0.0000, 0.0000, 0.0000)
Mn (0.0000, 0.5000, 0.5000)
Mn (0.5000, 0.0000, 0.5000)

# 8
K3Mn at its PBEsol-relaxed geometry. Source: Alexandria via LeMat-Bulk, functional SCAN.

DOS(E_F) ... 0.75 states/eV per atom
Energy relative to the elements ... 42 kJ per mole of atoms
Total magnetic moment ... 5.12 μB per formula unit
Crystal system ... cubic

abc: 6.4051 6.4051 6.4051
angles: 60.00 60.00 60.00
Fractional coordinates of all 4 atoms:
K (0.0000, 0.0000, 0.0000)
K (0.2500, 0.2500, 0.2500)
K (0.7500, 0.7500, 0.7500)
Mn (0.5000, 0.5000, 0.5000)

# 9
KMn2Mo at its PBEsol-relaxed geometry. Source: Alexandria via LeMat-Bulk, functional SCAN.

DOS(E_F) ... 0.98 states/eV per atom
Energy relative to the elements ... 73 kJ per mole of atoms
Total magnetic moment ... 0.23 μB per formula unit
ΔE to the lowest computed polymorph ... 0 meV per atom
Crystal system ... tetragonal

abc: 2.6736 2.6736 9.3690
angles: 90.00 90.00 90.00
Fractional coordinates of all 4 atoms:
K (0.0000, 0.0000, 0.0000)
Mn (0.0000, 0.0000, 0.4598)
Mn (0.5000, 0.5000, 0.3154)
Mo (0.5000, 0.5000, 0.6639)

# 10
KMn2Mo at its PBEsol-relaxed geometry. Source: Alexandria via LeMat-Bulk, functional SCAN.

DOS(E_F) ... 0.93 states/eV per atom
Energy relative to the elements ... 94 kJ per mole of atoms
Total magnetic moment ... 0.00 μB per formula unit
ΔE to the lowest computed polymorph ... 214 meV per atom
Crystal system ... orthorhombic

abc: 2.7849 3.8145 7.3893
angles: 90.00 90.00 90.00
Fractional coordinates of all 4 atoms:
K (0.0000, 0.0000, 0.0000)
Mn (0.5000, 0.5000, 0.3671)
Mn (0.5000, 0.5000, 0.6329)
Mo (0.0000, 0.0000, 0.5000)

# 11
KMn2Mo at its PBEsol-relaxed geometry. Source: Alexandria via LeMat-Bulk, functional SCAN.

DOS(E_F) ... 0.70 states/eV per atom
Energy relative to the elements ... 100 kJ per mole of atoms
Total magnetic moment ... 5.37 μB per formula unit
ΔE to the lowest computed polymorph ... 282 meV per atom
Crystal system ... orthorhombic

abc: 4.8198 4.8198 4.8198
angles: 129.40 115.20 86.53
Fractional coordinates of all 4 atoms:
K (0.0000, 0.0000, 0.0000)
Mn (0.2918, 0.7918, 0.5000)
Mn (0.7082, 0.2082, 0.5000)
Mo (0.5000, 0.5000, 0.0000)

# 12
KMnMo at its PBEsol-relaxed geometry. Source: Alexandria via LeMat-Bulk, functional SCAN.

DOS(E_F) ... 0.93 states/eV per atom
Energy relative to the elements ... 171 kJ per mole of atoms
Total magnetic moment ... 1.65 μB per formula unit
Crystal system ... cubic

abc: 4.5014 4.5014 4.5014
angles: 60.00 60.00 60.00
Fractional coordinates of all 3 atoms:
K (0.0000, 0.0000, 0.0000)
Mn (0.5000, 0.5000, 0.5000)
Mo (0.2500, 0.2500, 0.2500)

# 13
K4MnMo4O15 at its PBEsol-relaxed geometry. Source: Alexandria via LeMat-Bulk, functional SCAN.

DOS(E_F) ... 0.00 states/eV per atom
Electronic total energy ... -14.1231 eV/atom
Total magnetic moment ... 5.00 μB per formula unit
Crystal system ... trigonal

abc: 10.3052 10.3052 8.1227
angles: 90.00 90.00 120.00
Fractional coordinates of all 48 atoms:
K (0.0000, 0.0000, 0.0000)
K (0.0000, 0.0000, 0.5000)
K (0.0910, 0.3950, 0.1392)
K (0.3040, 0.9090, 0.1392)
K (0.3950, 0.3040, 0.8608)
K (0.6050, 0.6960, 0.1392)
K (0.6960, 0.0910, 0.8608)
K (0.9090, 0.6050, 0.8608)
Mn (0.3333, 0.6667, 0.4663)
Mn (0.6667, 0.3333, 0.5337)
Mo (0.0161, 0.3404, 0.6373)
Mo (0.3243, 0.9839, 0.6373)
Mo (0.3333, 0.6667, 0.8575)
Mo (0.3404, 0.3243, 0.3627)
Mo (0.6596, 0.6757, 0.6373)
Mo (0.6667, 0.3333, 0.1425)
Mo (0.6757, 0.0161, 0.3627)
Mo (0.9839, 0.6596, 0.3627)
O (0.0061, 0.2166, 0.7910)
O (0.0165, 0.2733, 0.4417)
O (0.1448, 0.6371, 0.3428)
O (0.1754, 0.6556, 0.9500)
O (0.1871, 0.5201, 0.6600)
O (0.2105, 0.9939, 0.7910)
O (0.2166, 0.2105, 0.2090)
O (0.2568, 0.9835, 0.4417)
O (0.2733, 0.2568, 0.5583)
O (0.3330, 0.8129, 0.6600)
O (0.3444, 0.5198, 0.9500)
O (0.3629, 0.5077, 0.3428)
O (0.4799, 0.6670, 0.6600)
O (0.4802, 0.8246, 0.9500)
O (0.4923, 0.8552, 0.3428)
O (0.5077, 0.1448, 0.6572)
O (0.5198, 0.1754, 0.0500)
O (0.5201, 0.3330, 0.3400)
O (0.6371, 0.4923, 0.6572)
O (0.6556, 0.4802, 0.0500)
O (0.6670, 0.1871, 0.3400)
O (0.7267, 0.7432, 0.4417)
O (0.7432, 0.0165, 0.5583)
O (0.7834, 0.7895, 0.7910)
O (0.7895, 0.0061, 0.2090)
O (0.8129, 0.4799, 0.3400)
O (0.8246, 0.3444, 0.0500)
O (0.8552, 0.3629, 0.6572)
O (0.9835, 0.7267, 0.5583)
O (0.9939, 0.7834, 0.2090)

# 14
KMnN3 at its PBEsol-relaxed geometry. Source: Alexandria via LeMat-Bulk, functional SCAN.

DOS(E_F) ... 0.67 states/eV per atom
Electronic total energy ... -10.1968 eV/atom
Total magnetic moment ... 1.90 μB per formula unit
Crystal system ... cubic

abc: 3.7532 3.7532 3.7532
angles: 90.00 90.00 90.00
Fractional coordinates of all 5 atoms:
K (0.0000, 0.0000, 0.0000)
Mn (0.5000, 0.5000, 0.5000)
N (0.0000, 0.5000, 0.5000)
N (0.5000, 0.0000, 0.5000)
N (0.5000, 0.5000, 0.0000)